Material: NaCeSn2I8
Method: DFT, GGA-PBE
State: optimized geometry

abc: 7.3082 9.3495 7.8044
angles: 90.00 91.01 90.00
Last column: nearest neighbours and their distance in Å.
Atoms (fractional coordinates):
Na 0.0000 0.0000 0.0000  6 I 3.20-3.36
Ce 0.0000 0.5000 0.0000  6 I 3.15-3.17
Sn 0.5000 0.2422 0.5000  6 I 3.10-3.33
Sn 0.5000 0.7578 0.5000  6 I 3.10-3.33
I 0.2439 0.5000 0.6674  1 Ce 3.17, 2 Sn 3.33
I 0.2452 0.2536 0.1571  1 Ce 3.15, 1 Na 3.20, 1 Sn 3.24
I 0.2452 0.7464 0.1571  1 Ce 3.15, 1 Na 3.20, 1 Sn 3.24
I 0.2625 0.0000 0.6506  2 Sn 3.10, 1 Na 3.36
I 0.7375 0.0000 0.3494  2 Sn 3.10, 1 Na 3.36
I 0.7548 0.2536 0.8429  1 Ce 3.15, 1 Na 3.20, 1 Sn 3.24
I 0.7548 0.7464 0.8429  1 Ce 3.15, 1 Na 3.20, 1 Sn 3.24
I 0.7561 0.5000 0.3326  1 Ce 3.17, 2 Sn 3.33

Results
**Formation energy (no corrections)**: -10.55 eV per formula unit
**Magnetization**: 1.00 μB per cell

---

Material: Na2SrCeI8
Method: DFT, GGA-PBE
State: optimized geometry

abc: 7.3842 9.5417 7.8094
angles: 90.00 93.54 90.00
Last column: nearest neighbours and their distance in Å.
Atoms (fractional coordinates):
Na 0.0000 0.2386 0.0000  4 I 3.09-3.34
Na 0.0000 0.7614 0.0000  4 I 3.09-3.34
Sr 0.5000 0.0000 0.5000  6 I 3.18-3.37
Ce 0.5000 0.5000 0.5000  6 I 3.04-3.05
I 0.2366 0.0000 0.1617  2 Na 3.09, 1 Sr 3.18
I 0.2475 0.5000 0.1779  1 Ce 3.04, 2 Na 3.34
I 0.2686 0.2731 0.6529  1 Ce 3.05, 1 Sr 3.37
I 0.2686 0.7269 0.6529  1 Ce 3.05, 1 Sr 3.37
I 0.7314 0.2731 0.3471  1 Ce 3.05, 1 Sr 3.37
I 0.7314 0.7269 0.3471  1 Ce 3.05, 1 Sr 3.37
I 0.7525 0.5000 0.8221  1 Ce 3.04, 2 Na 3.34
I 0.7634 0.0000 0.8383  2 Na 3.09, 1 Sr 3.18

Results
**Formation energy (no corrections)**: -15.40 eV per formula unit
**Magnetization**: 0.09 μB per cell

---

Material: Na2CeTlI8
Method: DFT, GGA-PBE
State: optimized geometry

abc: 6.5405 8.1282 10.2554
angles: 90.00 90.07 90.20
Last column: nearest neighbours and their distance in Å.
Atoms (fractional coordinates):
Na 0.9997 0.0001 0.2210  6 I 3.17-3.31
Na 0.0003 0.9999 0.7790  6 I 3.17-3.31
Ce 0.5000 0.5000 0.0000  6 I 3.05-3.07
Tl 0.5000 0.5000 0.5000  4 I 3.51
I 0.2488 0.6484 0.7786  1 Ce 3.05, 1 Na 3.29
I 0.2495 0.6491 0.2210  1 Ce 3.05, 1 Na 3.29
I 0.2530 0.0217 0.5000  2 I 3.25-3.33, 2 Na 3.31
I 0.2582 0.1761 0.0003  1 Ce 3.07, 2 Na 3.17
I 0.7418 0.8239 0.9997  1 Ce 3.07, 2 Na 3.17
I 0.7470 0.9783 0.5000  2 I 3.25-3.33, 2 Na 3.31
I 0.7505 0.3509 0.7790  1 Ce 3.05, 1 Na 3.29
I 0.7512 0.3516 0.2214  1 Ce 3.05, 1 Na 3.29

Results
**Formation energy (no corrections)**: -11.49 eV per formula unit
**Magnetization**: 0.26 μB per cell

---

Material: NaCeTl2I6
Method: DFT, GGA-PBE
State: optimized geometry

abc: 8.8335 8.8335 8.8335
angles: 57.93 57.93 57.93
Last column: nearest neighbours and their distance in Å.
Atoms (fractional coordinates):
Na 0.0000 0.0000 0.0000  6 I 3.23-3.32
Ce 0.4954 0.4954 0.4954  6 I 3.15-3.17
Tl 0.2923 0.2923 0.2923  6 I 3.56-3.57
Tl 0.7978 0.7978 0.7978  6 I 3.55
I 0.1388 0.7198 0.3633  1 Ce 3.17, 1 Na 3.23
I 0.2388 0.6363 0.8454  1 Ce 3.15, 1 Na 3.32
I 0.3633 0.1388 0.7198  1 Ce 3.17, 1 Na 3.23
I 0.6363 0.8454 0.2388  1 Ce 3.15, 1 Na 3.32
I 0.7198 0.3633 0.1388  1 Ce 3.17, 1 Na 3.23
I 0.8454 0.2388 0.6363  1 Ce 3.15, 1 Na 3.32

Results
**Formation energy (no corrections)**: -10.51 eV per formula unit
**Magnetization**: 1.00 μB per cell

---

Material: CeNbI
Method: DFT, GGA-PBE
State: optimized geometry

abc: 10.9081 10.9081 4.4738
angles: 90.00 90.00 159.94
Last column: nearest neighbours and their distance in Å.
Atoms (fractional coordinates):
Ce 0.0933 0.9067 0.7500  6 Nb 3.23-3.27, 4 I 3.39
Ce 0.9067 0.0933 0.2500  6 Nb 3.23-3.27, 4 I 3.39
Nb 0.4697 0.5303 0.7500  2 Nb 2.59
Nb 0.5303 0.4697 0.2500  2 Nb 2.59
I 0.3275 0.6725 0.7500  1 Nb 3.05, 4 Ce 3.39
I 0.6725 0.3275 0.2500  1 Nb 3.05, 4 Ce 3.39

Results
**Formation energy (no corrections)**: -0.89 eV per formula unit
**Magnetization**: 0.86 μB per cell

---

Material: CeNbIO4
Method: DFT, GGA-PBE
State: optimized geometry

abc: 6.8842 6.8842 6.9471
angles: 105.53 105.53 63.04
Last column: nearest neighbours and their distance in Å.
Atoms (fractional coordinates):
Ce 0.2401 0.2401 0.3601  4 O 2.22-2.30
Ce 0.7599 0.7599 0.6399  4 O 2.22-2.30
Nb 0.1239 0.1239 0.7424  4 O 1.85-1.90
Nb 0.8761 0.8761 0.2576  4 O 1.85-1.90
I 0.4987 0.4987 0.7545  2 Ce 3.39-3.40, 2 I 3.40-3.55, 9 O 3.48-3.77
I 0.5013 0.5013 0.2455  2 Ce 3.39-3.40, 2 I 3.40-3.55, 9 O 3.48-3.77
O 0.0070 0.3989 0.6525  1 Nb 1.90
O 0.0465 0.0465 0.3387  1 Nb 1.90
O 0.1780 0.1780 0.0233  1 Nb 1.85
O 0.3989 0.0070 0.6525  1 Nb 1.90
O 0.6011 0.9930 0.3475  1 Nb 1.90
O 0.8220 0.8220 0.9767  1 Nb 1.85
O 0.9535 0.9535 0.6613  1 Nb 1.90
O 0.9930 0.6011 0.3475  1 Nb 1.90

Results
**Formation energy (no corrections)**: -17.87 eV per formula unit
**Magnetization**: 0.63 μB per cell